## Mn2BeSe (PBE)

Data for an optimized crystal structure of Mn2BeSe.

Cell lengths 3.0500, 3.0500, 5.0742 Å; angles 90.00, 90.00, 90.00 degrees
Closest atoms and distances in Å follow each position.
Positions (direct):
Be  0.5000  0.5000  0.7802  5 Mn 2.36-2.37, 4 Se 2.58
Mn  0.0000  0.0000  0.9706  4 Be 2.36, 1 Se 2.38, 4 Mn 2.57
Mn  0.5000  0.5000  0.2476  1 Be 2.37, 4 Se 2.51, 4 Mn 2.57
Se  0.0000  0.0000  0.5015  5 Mn 2.38-2.51, 4 Be 2.58

Volume in Å³/cell: 47.2
Symmetry: P4mm, No. 99
Uncorrected formation energy in meV per atom: 120.5
Energy above the lowest structure with this stoichiometry in meV/atom: 17


## Mn2BeSe (PBE)

Data for an optimized crystal structure of Mn2BeSe.

Cell lengths 3.5253, 3.7428, 3.7428 Å; angles 90.00, 90.00, 90.00 degrees
Closest atoms and distances in Å follow each position.
Positions (direct):
Be  0.5000  0.0000  0.5000  8 Mn 2.57, 4 Se 2.65
Mn  0.0000  0.0000  0.0000  4 Se 2.57, 4 Be 2.57, 4 Mn 2.65
Mn  0.0000  0.5000  0.5000  4 Se 2.57, 4 Be 2.57, 4 Mn 2.65
Se  0.5000  0.5000  0.0000  8 Mn 2.57, 4 Be 2.65

Volume in Å³/cell: 49.4
Symmetry: P4/mmm, No. 123
Uncorrected formation energy in meV per atom: 217.1
Energy above the lowest structure with this stoichiometry in meV/atom: 114


## MnBeSe3 (PBE)

Data for an optimized crystal structure of MnBeSe3.

Cell lengths 4.6780, 4.6780, 4.6780 Å; angles 90.00, 90.00, 90.00 degrees
Closest atoms and distances in Å follow each position.
Positions (direct):
Be  0.5000  0.5000  0.5000  12 Se 3.31
Mn  0.0000  0.0000  0.0000  6 Se 2.34
Se  0.0000  0.5000  0.0000  2 Mn 2.34
Se  0.0000  0.0000  0.5000  2 Mn 2.34
Se  0.5000  0.0000  0.0000  2 Mn 2.34

Volume in Å³/cell: 102.4
Symmetry: Pm-3m, No. 221
Uncorrected formation energy in meV per atom: 742.2
Energy above the lowest structure with this stoichiometry in meV/atom: 0


## MnBe3Se (PBE)

Data for an optimized crystal structure of MnBe3Se.

Cell lengths 4.1587, 4.1587, 4.1587 Å; angles 90.00, 90.00, 90.00 degrees
Closest atoms and distances in Å follow each position.
Positions (direct):
Be  0.0000  0.5000  0.0000  2 Mn 2.08
Be  0.0000  0.0000  0.5000  2 Mn 2.08
Be  0.5000  0.0000  0.0000  2 Mn 2.08
Mn  0.0000  0.0000  0.0000  6 Be 2.08
Se  0.5000  0.5000  0.5000  12 Be 2.94

Volume in Å³/cell: 71.9
Symmetry: Pm-3m, No. 221
Uncorrected formation energy in meV per atom: 1086.4
Energy above the lowest structure with this stoichiometry in meV/atom: 0


## MnBe2Se (PBE)

Data for an optimized crystal structure of MnBe2Se.

Cell lengths 3.1320, 3.1320, 4.8649 Å; angles 90.00, 90.00, 90.00 degrees
Closest atoms and distances in Å follow each position.
Positions (direct):
Be  0.0000  0.0000  0.0228  1 Mn 2.27, 4 Be 2.44
Be  0.5000  0.5000  0.2322  2 Se 2.32-2.55, 4 Be 2.44, 4 Mn 2.54
Mn  0.0000  0.0000  0.4890  1 Be 2.27
Se  0.5000  0.5000  0.7560  6 Be 2.32-2.57, 4 Mn 2.57

Volume in Å³/cell: 47.7
Symmetry: P4mm, No. 99
Uncorrected formation energy in meV per atom: 171.0


## MnBe2Se (PBE)

Data for an optimized crystal structure of MnBe2Se.

Cell lengths 4.0945, 4.0945, 4.0945 Å; angles 60.00, 60.00, 60.00 degrees
Closest atoms and distances in Å follow each position.
Positions (direct):
Be  0.0000  0.0000  0.0000  4 Se 2.51, 4 Be 2.51
Be  0.2500  0.2500  0.2500  4 Be 2.51, 4 Mn 2.51
Mn  0.5000  0.5000  0.5000  4 Be 2.51, 4 Se 2.51
Se  0.7500  0.7500  0.7500  4 Mn 2.51, 4 Be 2.51

Volume in Å³/cell: 48.5
Symmetry: F-43m, No. 216
Uncorrected formation energy in meV per atom: 513.7


## Mn2BeSiSe (PBE)

Data for an optimized crystal structure of Mn2BeSiSe.

Cell lengths 4.3650, 3.9493, 4.3650 Å; angles 90.00, 90.00, 90.00 degrees
Closest atoms and distances in Å follow each position.
Positions (direct):
Be  0.0000  0.5000  0.0000  2 Se 1.97
Si  0.5000  0.5000  0.5000  8 Mn 2.94, 4 Be 3.09
Mn  0.0000  0.0000  0.5000  2 Se 2.18
Mn  0.5000  0.0000  0.0000  2 Se 2.18
Se  0.0000  0.0000  0.0000  2 Be 1.97, 4 Mn 2.18

Volume in Å³/cell: 75.2
Symmetry: P4/mmm, No. 123
Uncorrected formation energy in meV per atom: 1068.3


## TaMn2BeSe (PBE)

Data for an optimized crystal structure of TaMn2BeSe.

Cell lengths 4.2465, 4.7005, 4.2465 Å; angles 90.00, 90.00, 90.00 degrees
Closest atoms and distances in Å follow each position.
Positions (direct):
Be  0.5000  0.5000  0.5000  4 Ta 3.00, 8 Mn 3.17
Mn  0.0000  0.0000  0.5000  2 Se 2.12
Mn  0.5000  0.0000  0.0000  2 Se 2.12
Se  0.0000  0.0000  0.0000  4 Mn 2.12, 2 Ta 2.35
Ta  0.0000  0.5000  0.0000  2 Se 2.35

Volume in Å³/cell: 84.8
Symmetry: P4/mmm, No. 123
Uncorrected formation energy in meV per atom: 1186.5


## MnBeTeSe2 (PBE)

Data for an optimized crystal structure of MnBeTeSe2.

Cell lengths 4.4279, 5.8386, 4.4279 Å; angles 90.00, 90.00, 90.00 degrees
Closest atoms and distances in Å follow each position.
Positions (direct):
Mn  0.0000  0.0000  0.0000  4 Se 2.21
Te  0.0000  0.5000  0.0000  2 Mn 2.92, 4 Be 3.13
Se  0.0000  0.0000  0.5000  2 Mn 2.21
Se  0.5000  0.0000  0.0000  2 Mn 2.21
Be  0.5000  0.5000  0.5000  4 Te 3.13

Volume in Å³/cell: 114.5
Symmetry: P4/mmm, No. 123
Uncorrected formation energy in meV per atom: 613.3


## TiMnBe2Se (PBE)

Data for an optimized crystal structure of TiMnBe2Se.

Cell lengths 4.2179, 4.7201, 4.2179 Å; angles 90.00, 90.00, 90.00 degrees
Closest atoms and distances in Å follow each position.
Positions (direct):
Be  0.0000  0.0000  0.5000  2 Se 2.11
Be  0.5000  0.0000  0.0000  2 Se 2.11
Mn  0.5000  0.5000  0.5000  4 Ti 2.98, 8 Be 3.17
Se  0.0000  0.0000  0.0000  4 Be 2.11, 2 Ti 2.36
Ti  0.0000  0.5000  0.0000  2 Se 2.36

Volume in Å³/cell: 84.0
Symmetry: P4/mmm, No. 123
Uncorrected formation energy in meV per atom: 766.8


## YMn2BeSe (PBE)

Data for an optimized crystal structure of YMn2BeSe.

Cell lengths 5.6141, 5.2574, 5.6141 Å; angles 90.00, 90.00, 90.00 degrees
Closest atoms and distances in Å follow each position.
Positions (direct):
Y  0.0000  0.0000  0.0000  2 Se 2.63, 4 Mn 2.81
Be  0.5000  0.5000  0.5000  8 Mn 3.85, 4 Se 3.97
Mn  0.0000  0.0000  0.5000  2 Y 2.81
Mn  0.5000  0.0000  0.0000  2 Y 2.81
Se  0.0000  0.5000  0.0000  2 Y 2.63

Volume in Å³/cell: 165.7
Symmetry: P4/mmm, No. 123
Uncorrected formation energy in meV per atom: 1381.4


## MnBeZnSe2 (PBE)

Data for an optimized crystal structure of MnBeZnSe2.

Cell lengths 4.8104, 4.5398, 4.8104 Å; angles 90.00, 90.00, 90.00 degrees
Closest atoms and distances in Å follow each position.
Positions (direct):
Be  0.5000  0.5000  0.5000  8 Se 3.31, 4 Mn 3.40
Zn  0.0000  0.0000  0.0000  2 Mn 2.27, 4 Se 2.41
Mn  0.0000  0.5000  0.0000  2 Zn 2.27
Se  0.0000  0.0000  0.5000  2 Zn 2.41
Se  0.5000  0.0000  0.0000  2 Zn 2.41

Volume in Å³/cell: 105.0
Symmetry: P4/mmm, No. 123
Uncorrected formation energy in meV per atom: 1008.2


## ZrMn2BeSe (PBE)

Data for an optimized crystal structure of ZrMn2BeSe.

Cell lengths 4.0898, 4.6753, 4.0898 Å; angles 90.00, 90.00, 90.00 degrees
Closest atoms and distances in Å follow each position.
Positions (direct):
Be  0.0000  0.0000  0.0000  4 Mn 2.04
Mn  0.0000  0.0000  0.5000  2 Be 2.04
Mn  0.5000  0.0000  0.0000  2 Be 2.04
Se  0.0000  0.5000  0.0000  2 Be 2.34
Zr  0.5000  0.5000  0.5000  4 Se 2.89, 8 Mn 3.11

Volume in Å³/cell: 78.2
Symmetry: P4/mmm, No. 123
Uncorrected formation energy in meV per atom: 361.7


## Mn3BeSi (PBE)

Data for an optimized crystal structure of Mn3BeSi.

Cell lengths 6.2682, 5.5633, 6.2682 Å; angles 90.00, 100.84, 90.00 degrees
Closest atoms and distances in Å follow each position.
Positions (direct):
Mn  0.1665  0.6114  0.9484  2 Be 2.25-2.26, 2 Mn 2.29-2.51, 3 Si 2.38-2.51
Mn  0.9484  0.8886  0.1665  2 Be 2.25-2.26, 2 Mn 2.29-2.51, 3 Si 2.38-2.51
Mn  0.8335  0.3886  0.0516  2 Be 2.25-2.26, 2 Mn 2.29-2.51, 3 Si 2.38-2.51
Mn  0.0516  0.1114  0.8335  2 Be 2.25-2.26, 2 Mn 2.29-2.51, 3 Si 2.38-2.51
Mn  0.5852  0.6823  0.0852  3 Be 2.15-2.38, 2 Mn 2.29
Mn  0.0852  0.8177  0.5852  3 Be 2.15-2.38, 2 Mn 2.29
Mn  0.4148  0.3177  0.9148  3 Be 2.15-2.38, 2 Mn 2.29
Mn  0.9148  0.1823  0.4148  3 Be 2.15-2.38, 2 Mn 2.29
Mn  0.4484  0.6114  0.6665  2 Be 2.25-2.26, 2 Mn 2.29-2.51, 3 Si 2.38-2.51
Mn  0.6665  0.8886  0.4484  2 Be 2.25-2.26, 2 Mn 2.29-2.51, 3 Si 2.38-2.51
Mn  0.5516  0.3886  0.3335  2 Be 2.25-2.26, 2 Mn 2.29-2.51, 3 Si 2.38-2.51
Mn  0.3335  0.1114  0.5516  2 Be 2.25-2.26, 2 Mn 2.29-2.51, 3 Si 2.38-2.51
Be  0.3737  0.9224  0.8738  7 Mn 2.15-2.38, 1 Be 2.19
Be  0.8738  0.5776  0.3737  7 Mn 2.15-2.38, 1 Be 2.19
Be  0.6263  0.0776  0.1262  7 Mn 2.15-2.38, 1 Be 2.19
Be  0.1262  0.4224  0.6263  7 Mn 2.15-2.38, 1 Be 2.19
Si  0.1928  0.2500  0.1928  8 Mn 2.38-2.51
Si  0.8072  0.7500  0.8072  8 Mn 2.38-2.51
Si  0.6928  0.2500  0.6928  8 Mn 2.38-2.51
Si  0.3072  0.7500  0.3072  8 Mn 2.38-2.51

Volume in Å³/cell: 214.7
Symmetry: Cmce, No. 64
Uncorrected formation energy in meV per atom: -98.1
Energy above the lowest structure with this stoichiometry in meV/atom: 0


## Mn2Be2Si (PBE)

Data for an optimized crystal structure of Mn2Be2Si.

Cell lengths 5.6211, 5.6211, 2.9486 Å; angles 90.00, 90.00, 90.00 degrees
Closest atoms and distances in Å follow each position.
Positions (direct):
Be  0.3779  0.8779  0.0000  1 Be 1.94
Be  0.8779  0.6221  0.0000  1 Be 1.94
Be  0.6221  0.1221  0.0000  1 Be 1.94
Be  0.1221  0.3779  0.0000  1 Be 1.94
Si  0.0000  0.0000  0.0000  4 Be 2.23
Si  0.5000  0.5000  0.0000  4 Be 2.23
Mn  0.1763  0.6763  0.5000  6 Be 2.18-2.25
Mn  0.6763  0.8237  0.5000  6 Be 2.18-2.25
Mn  0.8237  0.3237  0.5000  6 Be 2.18-2.25
Mn  0.3237  0.1763  0.5000  6 Be 2.18-2.25

Volume in Å³/cell: 93.2
Symmetry: P4/mbm, No. 127
Uncorrected formation energy in meV per atom: -282.7
Energy above the lowest structure with this stoichiometry in meV/atom: 0


## MnBe2Si (PBE)

Data for an optimized crystal structure of MnBe2Si.

Cell lengths 4.2544, 4.2544, 3.2918 Å; angles 67.25, 67.25, 45.50 degrees
Closest atoms and distances in Å follow each position.
Positions (direct):
Be  0.0001  0.0001  0.9998  4 Mn 2.33, 4 Be 2.42-2.43, 4 Si 2.42-2.43
Be  0.7499  0.7499  0.7500  4 Si 2.33, 4 Be 2.42-2.43, 4 Mn 2.42
Si  0.2500  0.2500  0.2499  8 Be 2.33-2.43, 4 Mn 2.42
Mn  0.4999  0.4999  0.5000  8 Be 2.33-2.42, 4 Si 2.42

Volume in Å³/cell: 38.6
Symmetry: I-4m2, No. 119
Uncorrected formation energy in meV per atom: -296.3


## MnBe2Si (PBE)

Data for an optimized crystal structure of MnBe2Si.

Cell lengths 4.1091, 4.1091, 2.5949 Å; angles 90.00, 90.00, 110.09 degrees
Closest atoms and distances in Å follow each position.
Positions (direct):
Be  0.0000  0.0000  0.0000  4 Be 2.35-2.59, 4 Mn 2.43, 4 Si 2.43
Be  0.5000  0.5000  0.0000  4 Be 2.35-2.59, 4 Si 2.43, 4 Mn 2.43
Si  0.0000  0.5000  0.5000  2 Mn 2.35, 8 Be 2.43, 2 Si 2.59
Mn  0.5000  0.0000  0.5000  2 Si 2.35, 8 Be 2.43, 2 Mn 2.59

Volume in Å³/cell: 41.1
Symmetry: Cmmm, No. 65
Uncorrected formation energy in meV per atom: 3.8


## MnBe2Si (PBE)

Data for an optimized crystal structure of MnBe2Si.

Cell lengths 2.4270, 2.4305, 8.7947 Å; angles 82.06, 82.06, 60.03 degrees
Closest atoms and distances in Å follow each position.
Positions (direct):
Mn  0.2219  0.6670  0.2318  4 Be 2.27-2.33, 6 Mn 2.43
Be  0.1348  0.5798  0.4938  1 Mn 2.27, 6 Be 2.43, 3 Si 2.52
Be  0.6265  0.0724  0.0172  3 Mn 2.33, 6 Be 2.43, 1 Si 2.44
Si  0.7213  0.1653  0.7356  6 Si 2.43, 4 Be 2.44-2.52

Volume in Å³/cell: 44.4
Symmetry: R3m, No. 160
Uncorrected formation energy in meV per atom: 474.9


## MnBe2Si (PBE)

Data for an optimized crystal structure of MnBe2Si.

Cell lengths 2.9076, 2.9705, 4.6403 Å; angles 90.00, 90.00, 90.00 degrees
Closest atoms and distances in Å follow each position.
Positions (direct):
Be  0.0000  0.0000  0.0190  1 Be 2.14, 4 Mn 2.34
Be  0.0000  0.0000  0.4810  1 Be 2.14, 4 Mn 2.34
Si  0.5000  0.5000  0.7500  2 Mn 2.32, 8 Be 2.42
Mn  0.5000  0.5000  0.2500  2 Si 2.32, 8 Be 2.34

Volume in Å³/cell: 40.1
Symmetry: Pmmm, No. 47
Uncorrected formation energy in meV per atom: -55.3


## MnBe2Si (PBE)

Data for an optimized crystal structure of MnBe2Si.

Cell lengths 7.8933, 7.8933, 7.8933 Å; angles 18.40, 18.40, 18.40 degrees
Closest atoms and distances in Å follow each position.
Positions (direct):
Be  0.9955  0.9955  0.9955  3 Mn 2.34, 3 Si 2.51, 6 Be 2.52
Be  0.5045  0.5045  0.5045  3 Mn 2.34, 3 Si 2.51, 6 Be 2.52
Si  0.7500  0.7500  0.7500  6 Be 2.51, 6 Si 2.52
Mn  0.2500  0.2500  0.2500  6 Be 2.34, 6 Mn 2.52

Volume in Å³/cell: 42.8
Symmetry: R-3m, No. 166
Uncorrected formation energy in meV per atom: 229.8